## NdSm3Zn (GGA-PBE)

Data for crystalline NdSm3Zn at its relaxed geometry.

```
10
Lattice="6.000 -4.394 0.000 6.000 4.394 0.000 -4.936 0.000 6.221" Properties=species:S:1:pos:R:3 pbc="T T T"
Nd -0.964 0.000 1.931
Nd 8.027 0.000 4.289
Sm 2.261 1.724 1.652
Sm 1.480 0.000 4.538
Sm 2.261 -1.724 1.652
Sm 4.802 1.724 4.569
Sm 5.583 0.000 1.682
Sm 4.802 -1.724 4.569
Zn -1.302 0.000 5.676
Zn 8.364 0.000 0.545
```

size of the total moment	0.000	μB per atom
polymorph energy (0 for the lowest one)	151	meV per atom
DFT formation energy	58	meV per atom
VASP energy	-3.9816	eV/atom

## Nd8Sm2Zn (GGA-PBE)

Data for crystalline Nd8Sm2Zn at its relaxed geometry.

```
11
Lattice="9.541 -2.839 0.000 9.541 2.839 0.000 -2.943 0.000 6.904" Properties=species:S:1:pos:R:3 pbc="T T T"
Nd 18.354 0.000 1.700
Nd -2.216 0.000 5.204
Nd 2.949 0.000 1.261
Nd 6.655 0.000 0.910
Nd 5.271 0.000 4.183
Nd 10.868 0.000 2.722
Nd 9.483 0.000 5.995
Nd 13.190 0.000 5.644
Sm 1.612 0.000 4.766
Sm 14.526 0.000 2.139
Zn 9.541 0.000 0.000
```

size of the total moment	0.000	μB per atom
polymorph energy (0 for the lowest one)	56	meV per atom
DFT formation energy	44	meV per atom
VASP energy	-4.3976	eV/atom

## Nd3Sm3Zn2 (GGA-PBE)

Data for crystalline Nd3Sm3Zn2 at its relaxed geometry.

```
16
Lattice="2.599 -5.871 0.000 2.599 5.871 0.000 0.000 0.000 15.590" Properties=species:S:1:pos:R:3 pbc="T T T"
Nd 2.599 5.540 9.492
Nd 2.599 5.540 13.894
Nd 2.599 2.676 11.693
Nd 2.599 -2.676 3.898
Nd 2.599 -5.540 1.696
Nd 2.599 -5.540 6.099
Sm 2.599 1.755 8.178
Sm 2.599 1.755 15.208
Sm 2.599 0.594 3.898
Sm 2.599 -0.594 11.693
Sm 2.599 -1.755 0.383
Sm 2.599 -1.755 7.412
Zn 2.599 3.148 2.235
Zn 2.599 3.148 5.561
Zn 2.599 -3.148 10.030
Zn 2.599 -3.148 13.356
```

size of the total moment	0.000	μB per atom
DFT formation energy	-74	meV per atom
VASP energy	-3.9496	eV/atom

## NdSm2Zn9 (GGA-PBE)

Data for crystalline NdSm2Zn9 at its relaxed geometry.

```
12
Lattice="2.755 1.591 8.705 -2.755 1.591 8.705 0.000 -3.182 8.705" Properties=species:S:1:pos:R:3 pbc="T T T"
Nd 0.000 0.000 0.000
Sm 0.000 0.000 3.676
Sm 0.000 0.000 22.439
Zn -1.398 -0.807 10.842
Zn 0.000 0.000 8.747
Zn 0.000 -1.614 15.272
Zn -1.398 0.807 15.272
Zn 0.000 0.000 13.057
Zn 1.398 -0.807 10.842
Zn 0.000 1.614 10.842
Zn 0.000 0.000 17.367
Zn 1.398 0.807 15.272
```

size of the total moment	0.000	μB per atom
DFT formation energy	-309	meV per atom
VASP energy	-2.4482	eV/atom

## Nd4Sm3Zn4 (GGA-PBE)

Data for crystalline Nd4Sm3Zn4 at its relaxed geometry.

```
11
Lattice="-2.586 3.628 8.228 2.586 -3.628 8.228 2.586 3.628 -8.228" Properties=species:S:1:pos:R:3 pbc="T T T"
Nd 2.586 -1.988 5.329
Nd 0.000 1.640 2.899
Nd 2.586 1.988 5.329
Nd 0.000 5.616 2.899
Sm 2.586 0.000 0.000
Sm 0.000 0.000 6.560
Sm 0.000 0.000 9.895
Zn 2.586 0.000 2.999
Zn 0.000 2.358 0.000
Zn 0.000 4.898 0.000
Zn 0.000 3.628 5.228
```

size of the total moment	0.000	μB per atom
DFT formation energy	-103	meV per atom
VASP energy	-3.5867	eV/atom

## Nd2Sm8Zn (GGA-PBE)

Data for crystalline Nd2Sm8Zn at its relaxed geometry.

```
11
Lattice="9.668 -2.827 0.000 9.668 2.827 0.000 -0.375 0.000 6.539" Properties=species:S:1:pos:R:3 pbc="T T T"
Nd 4.473 0.000 2.172
Nd 14.488 0.000 4.367
Sm 0.667 0.000 1.646
Sm 2.696 0.000 5.311
Sm 6.357 0.000 5.758
Sm 8.009 0.000 2.560
Sm 10.952 0.000 3.980
Sm 12.603 0.000 0.782
Sm 16.264 0.000 1.228
Sm 18.293 0.000 4.893
Zn 9.668 0.000 0.000
```

size of the total moment	0.000	μB per atom
DFT formation energy	-9	meV per atom
VASP energy	-4.4236	eV/atom

no.,ρ (Mg/m³)
1,6.69
2,6.75
3,7.08
4,7.50
5,6.94
6,7.23